Record 1
VASP calculation (GGA-PBE) on an optimized crystal structure of ZnIrCl2.

raw formation energy	8.0	kJ per mole of atoms
final energy	-3.37	eV/atom
symmetry	No. 44
N(E_F)	3.4	states/eV/f.u.
M_tot	1.02	μB per formula unit
calculated density	4.5	g cm⁻³
energy above the lowest structure with this stoichiometry	292	meV per atom

Lattice parameters (Å, degrees): 6.432 6.432 6.432 152.22 95.01 91.60
Sites, in units of the cell vectors:
Zn1 0.261 0.761 0.500
Ir1 0.492 0.492 0.000
Cl1 0.069 0.069 0.000
Cl2 0.678 0.178 0.500



Record 2
VASP calculation (GGA-PBE) on an optimized crystal structure of PaGaBi2N.

raw formation energy	-58.8	kJ per mole of atoms
final energy	-6.33	eV/atom
symmetry	No. 129
N(E_F)	3.3	states/eV/f.u.
M_tot	0.00	μB per formula unit
calculated density	9.4	g cm⁻³

Lattice parameters (Å, degrees): 3.938 3.938 16.778 90.00 90.00 90.00
Sites, in units of the cell vectors:
Pa1 0.500 0.000 0.569
Pa2 0.000 0.500 0.431
Ga1 0.500 0.000 0.142
Ga2 0.000 0.500 0.858
Bi1 0.000 0.500 0.686
Bi2 0.000 0.500 0.067
Bi3 0.500 0.000 0.933
Bi4 0.500 0.000 0.314
N1 0.000 0.000 0.500
N2 0.500 0.500 0.500



Record 3
VASP calculation (GGA-PBE) on an optimized crystal structure of LiOsRh.

final energy	-6.48	eV/atom
symmetry	No. 62
N(E_F)	2.0	states/eV/f.u.
M_tot	0.00	μB per formula unit
calculated density	10.0	g cm⁻³
energy above the lowest structure with this stoichiometry	361	meV per atom
energy relative to the elements	0.350	eV per atom

Lattice parameters (Å, degrees): 6.873 4.079 7.132 90.00 90.00 90.00
Sites, in units of the cell vectors:
Rh1 0.822 0.250 0.401
Rh2 0.678 0.750 0.901
Rh3 0.178 0.750 0.599
Rh4 0.322 0.250 0.099
Os1 0.172 0.250 0.407
Os2 0.328 0.750 0.907
Os3 0.828 0.750 0.593
Os4 0.672 0.250 0.093
Li1 0.005 0.250 0.831
Li2 0.495 0.750 0.331
Li3 0.995 0.750 0.169
Li4 0.505 0.250 0.669



Record 4
VASP calculation (GGA-PBE) on an optimized crystal structure of SiAg2Rh.

raw formation energy	5.2	kJ per mole of atoms
final energy	-4.56	eV/atom
symmetry	No. 123
N(E_F)	2.2	states/eV/f.u.
M_tot	0.00	μB per formula unit
calculated density	9.2	g cm⁻³

Lattice parameters (Å, degrees): 3.789 3.789 4.345 90.00 90.00 90.00
Sites, in units of the cell vectors:
Ag1 0.000 0.000 0.000
Ag2 0.500 0.500 0.000
Rh1 0.500 0.000 0.500
Si1 0.000 0.500 0.500



Record 5
VASP calculation (GGA-PBE) on an optimized crystal structure of Sc2CuPd.

final energy	-5.26	eV/atom
symmetry	No. 71
N(E_F)	2.8	states/eV/f.u.
M_tot	0.00	μB per formula unit
calculated density	5.6	g cm⁻³
energy relative to the elements	0.228	eV per atom

Lattice parameters (Å, degrees): 5.927 5.927 5.927 58.72 151.14 130.05
Sites, in units of the cell vectors:
Sc1 0.000 0.254 0.254
Sc2 0.000 0.746 0.746
Cu1 0.000 0.000 0.000
Pd1 0.000 0.500 0.500



Record 6
VASP calculation (GGA-PBE) on an optimized crystal structure of YTi2Br2.

raw formation energy	21.3	kJ per mole of atoms
final energy	-4.90	eV/atom
symmetry	No. 127
N(E_F)	5.9	states/eV/f.u.
M_tot	0.00	μB per formula unit
calculated density	5.5	g cm⁻³
energy above the lowest structure with this stoichiometry	347	meV per atom

Lattice parameters (Å, degrees): 8.028 8.028 3.206 90.00 90.00 90.00
Sites, in units of the cell vectors:
Y1 0.000 0.000 0.000
Y2 0.500 0.500 0.000
Br1 0.148 0.648 0.500
Br2 0.648 0.852 0.500
Br3 0.852 0.352 0.500
Br4 0.352 0.148 0.500
Ti1 0.361 0.861 0.000
Ti2 0.861 0.639 0.000
Ti3 0.639 0.139 0.000
Ti4 0.139 0.361 0.000



Record 7
VASP calculation (GGA-PBE) on an optimized crystal structure of Al5Se4.

raw formation energy	-4.0	kJ per mole of atoms
final energy	-3.67	eV/atom
symmetry	No. 193
N(E_F)	3.5	states/eV/f.u.
M_tot	0.00	μB per formula unit
calculated density	4.1	g cm⁻³
energy above the lowest structure with this stoichiometry	217	meV per atom

Lattice parameters (Å, degrees): 8.828 8.828 5.345 90.00 90.00 120.00
Sites, in units of the cell vectors:
Al1 0.000 0.726 0.250
Al2 0.274 0.274 0.250
Al3 0.726 0.000 0.250
Al4 0.000 0.274 0.750
Al5 0.726 0.726 0.750
Al6 0.274 0.000 0.750
Al7 0.667 0.333 0.000
Al8 0.333 0.667 0.500
Al9 0.333 0.667 0.000
Al10 0.667 0.333 0.500
Se1 0.000 0.000 0.000
Se2 0.000 0.000 0.500
Se3 0.000 0.358 0.250
Se4 0.642 0.642 0.250
Se5 0.358 0.000 0.250
Se6 0.000 0.642 0.750
Se7 0.358 0.358 0.750
Se8 0.642 0.000 0.750



- The highest N(E_F) belongs to which entry?
  YTi2Br2



- The lowest final energy belongs to which entry?
  LiOsRh